An optimized crystal structure of P2OsCl. Source: Alexandria, functional PBE-GGA.

```
P2OsCl
1.0
1.449 -2.654 0.000
1.449 2.654 0.000
0.000 0.000 9.163
P Os Cl
2 1 1
Cartesian
0.000 0.000 0.000
1.449 0.000 1.891
1.449 0.000 7.354
0.000 0.000 5.323
```

Results
The total energy is -21.345 eV per cell. Its formation energy without anion corrections is 0.64 eV/atom. As for the mass density: 6775 kg/m³.

=====

An optimized crystal structure of P2OsCl. Source: Alexandria, functional PBE-GGA.

```
P2OsCl
1.0
3.074 0.000 0.000
0.000 3.074 0.000
0.000 0.000 7.287
P Os Cl
2 1 1
Cartesian
0.000 0.000 0.000
1.537 1.537 1.280
1.537 1.537 6.162
0.000 0.000 4.204
```

Results
The total energy is -22.473 eV per cell. Its formation energy without anion corrections is 0.36 eV/atom. As for the mass density: 6938 kg/m³.

=====

An optimized crystal structure of POsCl2. Source: Alexandria, functional PBE-GGA.

```
POsCl2
1.0
0.000 3.008 4.117
2.655 0.000 4.117
2.655 3.008 0.000
P Os Cl
1 1 2
Cartesian
0.000 0.000 0.000
2.655 3.008 4.117
2.655 1.504 2.058
0.000 1.504 2.058
```

Results
The total energy is -16.570 eV per cell. Its formation energy without anion corrections is 0.94 eV/atom. As for the mass density: 7376 kg/m³.